(1)
## LaHoErIn (PBE)

Data for an optimized crystal structure of LaHoErIn.

Cell: 5.5246 5.5246 5.5246 Å, 60.00 60.00 60.00°
Fractional coordinates of all 4 atoms:
La 0.0000 0.0000 0.0000
Ho 0.2500 0.2500 0.2500
Er 0.5000 0.5000 0.5000
In 0.7500 0.7500 0.7500

Properties
Energy of formation from the pure elements (kJ/mol of formula units): -55.8
M_tot (μB/cell): 0.93

---

(2)
## LaHoEr2In4 (PBE)

Data for an optimized crystal structure of LaHoEr2In4.

Cell: 9.3266 9.3266 9.3266 Å, 33.39 33.39 33.39°
Fractional coordinates of all 8 atoms:
La 0.0000 0.0000 0.0000
Ho 0.5000 0.5000 0.5000
Er 0.2495 0.2495 0.2495
Er 0.7505 0.7505 0.7505
In 0.1273 0.1273 0.1273
In 0.3776 0.3776 0.3776
In 0.6224 0.6224 0.6224
In 0.8727 0.8727 0.8727

Properties
Energy of formation from the pure elements (kJ/mol of formula units): -351.7
M_tot (μB/cell): 0.00

---

(3)
## LaHo2ErIn4 (PBE)

Data for an optimized crystal structure of LaHo2ErIn4.

Cell: 9.3389 9.3389 9.3389 Å, 33.38 33.38 33.38°
Fractional coordinates of all 8 atoms:
La 0.0000 0.0000 0.0000
Ho 0.2493 0.2493 0.2493
Ho 0.7507 0.7507 0.7507
Er 0.5000 0.5000 0.5000
In 0.1274 0.1274 0.1274
In 0.3778 0.3778 0.3778
In 0.6222 0.6222 0.6222
In 0.8726 0.8726 0.8726

Properties
Energy of formation from the pure elements (kJ/mol of formula units): -352.9
M_tot (μB/cell): 0.00

---

(4)
## Li2HoEr2In2 (PBE)

Data for an optimized crystal structure of Li2HoEr2In2.

Cell: 9.1721 9.1721 9.1721 Å, 30.53 30.53 30.53°
Fractional coordinates of all 7 atoms:
Li 0.1035 0.1035 0.1035
Li 0.8965 0.8965 0.8965
Ho 0.5000 0.5000 0.5000
Er 0.3723 0.3723 0.3723
Er 0.6277 0.6277 0.6277
In 0.2383 0.2383 0.2383
In 0.7617 0.7617 0.7617

Properties
Energy of formation from the pure elements (kJ/mol of formula units): -144.4
M_tot (μB/cell): 0.00